Record 1
## Pr3ScIn (PBE)

Data for a relaxed Pr3ScIn crystal.

Cell and atoms, written as extended XYZ:
```
10
Lattice="2.460 -12.637 0.000 2.460 12.637 0.000 0.000 0.000 4.903" Properties=species:S:1:pos:R:3 pbc="T T T"
Pr 2.460 11.212 3.677
Pr 2.460 6.299 3.677
Pr 2.460 1.486 3.677
Pr 2.460 -1.486 1.226
Pr 2.460 -6.299 1.226
Pr 2.460 -11.212 1.226
Sc 2.460 3.858 1.226
Sc 2.460 -3.858 3.677
In 2.460 8.746 1.226
In 2.460 -8.746 3.677
```


Record 2
## PrSc7In4 (PBE)

Data for a relaxed PrSc7In4 crystal.

Cell and atoms, written as extended XYZ:
```
12
Lattice="6.718 -2.661 0.000 6.718 2.661 0.000 -5.925 0.000 8.557" Properties=species:S:1:pos:R:3 pbc="T T T"
Pr 0.000 0.000 0.000
Sc -1.504 0.000 3.297
Sc -2.256 0.000 7.472
Sc 1.973 0.000 3.294
Sc 6.718 0.000 0.000
Sc 5.537 0.000 5.263
Sc 9.767 0.000 1.085
Sc 9.014 0.000 5.260
In 0.214 0.000 5.739
In 4.451 0.000 1.890
In 3.060 0.000 6.667
In 7.297 0.000 2.818
```


no.,N(E_F) (states/eV per cell),electronic total energy (eV/atom)
1,12.6,-4.847
2,13.5,-5.088